DFT (PBE) results for Mg2Sc5CdNi2 after structural relaxation.

The structure in CIF format:
```
data_Mg2Sc5CdNi2
_chemical_formula_sum 'Mg4 Sc10 Cd2 Ni4'
_symmetry_space_group_name_H-M 'P 4/m b m'
_symmetry_Int_Tables_number 127
_symmetry_space_group_name_Hall '-P 4 2ab'
_cell_length_a 11.214
_cell_length_b 11.214
_cell_length_c 3.369
_cell_angle_alpha 90.00
_cell_angle_beta 90.00
_cell_angle_gamma 90.00
loop_
_atom_site_label
_atom_site_type_symbol
_atom_site_fract_x
_atom_site_fract_y
_atom_site_fract_z
Mg1 Mg 0.176 0.324 0.000
Sc1 Sc 0.000 0.500 0.500
Sc2 Sc 0.071 0.787 0.500
Cd1 Cd 0.000 0.000 0.000
Ni1 Ni 0.127 0.627 0.000
```

Values from the calculation:
- energy relative to the elements (eV/f.u.) = -2.70
- ρ (Mg/m³) = 3.9
- final energy (eV per cell) = -100.04